A plane-wave DFT calculation with PBE-GGA was carried out for Na3HoSn3Se8 after structural relaxation. Values from VASP.

Output
The volume is 408.42 Å³/cell. For the formation energy from raw total energies, the calculation gives -855 meV/atom. The crystal system is trigonal. For the total energy, the calculation gives -4.0829 eV/atom.

Geometry as Quantum ESPRESSO input:
```
&SYSTEM
  ibrav = 0, nat = 15, ntyp = 4
/
ATOMIC_SPECIES
Na 22.99 Na.upf
Se 78.96 Se.upf
Sn 118.71 Sn.upf
Ho 164.93 Ho.upf
CELL_PARAMETERS angstrom
8.100 0.000 0.000
-4.050 7.015 -0.028
0.000 -4.653 7.206
ATOMIC_POSITIONS angstrom
Na 0.000 0.000 0.000
Se 2.008 3.513 5.178
Se 4.050 0.023 5.234
Se 6.058 -1.151 1.999
Se 2.042 -1.151 1.999
Se 0.000 2.339 1.944
Sn 2.025 1.181 3.589
Na 2.025 3.508 -0.014
Sn -2.025 1.181 3.589
Ho 0.000 -2.327 3.603
Se 0.000 0.045 5.190
Sn 4.050 -2.327 3.603
Se 4.050 2.317 1.987
Se -2.008 3.513 5.178
Na -2.025 3.508 -0.014
```